Entry 1:
# Pm2In2Pb | Alexandria via LeMat-Bulk | PBE | relaxed
data_Pm2In2Pb
_space_group_name_H-M_alt 'P 4/m b m'
_space_group_IT_number 127
_space_group_name_Hall '-P 4 2ab'
_cell_length_a 8.823
_cell_length_b 8.823
_cell_length_c 3.972
_cell_angle_alpha 90.00
_cell_angle_beta 90.00
_cell_angle_gamma 90.00
loop_
_atom_site_label
_atom_site_fract_x
_atom_site_fract_y
_atom_site_fract_z
Pm1 0.175 0.325 0.000
In1 0.127 0.627 0.500
Pb1 0.000 0.000 0.000
# E_form: -0.26 eV per atom
# final energy: -0.2934 Ry per atom
# volume: 30.92 Å³/atom

Entry 2:
# Pm6In2Pb | Alexandria via LeMat-Bulk | PBE | relaxed
data_Pm6In2Pb
_space_group_name_H-M_alt 'I m m m'
_space_group_IT_number 71
_space_group_name_Hall '-I 2 2'
_cell_length_a 5.336
_cell_length_b 7.490
_cell_length_c 15.969
_cell_angle_alpha 90.00
_cell_angle_beta 90.00
_cell_angle_gamma 90.00
loop_
_atom_site_label
_atom_site_fract_x
_atom_site_fract_y
_atom_site_fract_z
Pm1 0.000 0.245 0.000
Pm2 0.000 0.253 0.331
In1 0.000 0.000 0.167
Pb1 0.000 0.000 0.500
# E_form: -0.16 eV per atom
# final energy: -0.3193 Ry per atom
# volume: 35.46 Å³/atom

Entry 3:
# Pm8In3Pb4 | Alexandria via LeMat-Bulk | PBE | relaxed
data_Pm8In3Pb4
_space_group_name_H-M_alt 'C 1 2/m 1'
_space_group_IT_number 12
_space_group_name_Hall '-C 2y'
_cell_length_a 12.903
_cell_length_b 12.705
_cell_length_c 7.559
_cell_angle_alpha 90.00
_cell_angle_beta 125.63
_cell_angle_gamma 90.00
loop_
_atom_site_label
_atom_site_fract_x
_atom_site_fract_y
_atom_site_fract_z
Pm1 0.000 0.236 0.000
Pm2 0.000 0.250 0.500
Pm3 0.246 0.000 0.999
Pm4 0.249 0.500 0.494
In1 0.000 0.500 0.500
In2 0.250 0.250 0.000
Pb1 0.000 0.000 0.500
Pb2 0.000 0.500 0.000
Pb3 0.250 0.250 0.500
# E_form: -0.28 eV per atom
# final energy: -0.3201 Ry per atom
# volume: 33.58 Å³/atom

Entry 4:
# Pm2InPb5 | Alexandria via LeMat-Bulk | PBE | relaxed
data_Pm2InPb5
_space_group_name_H-M_alt 'P b a m'
_space_group_IT_number 55
_space_group_name_Hall '-P 2 2ab'
_cell_length_a 6.847
_cell_length_b 13.715
_cell_length_c 4.947
_cell_angle_alpha 90.00
_cell_angle_beta 90.00
_cell_angle_gamma 90.00
loop_
_atom_site_label
_atom_site_fract_x
_atom_site_fract_y
_atom_site_fract_z
Pm1 0.243 0.126 0.000
In1 0.000 0.500 0.500
Pb1 0.000 0.000 0.500
Pb2 0.004 0.747 0.500
Pb3 0.242 0.378 0.000
# E_form: -0.38 eV per atom
# final energy: -0.3108 Ry per atom
# volume: 29.04 Å³/atom

Entry 5:
# Pm4InPb3 | Alexandria via LeMat-Bulk | PBE | relaxed
data_Pm4InPb3
_space_group_name_H-M_alt 'P m m 2'
_space_group_IT_number 25
_space_group_name_Hall 'P 2 -2'
_cell_length_a 4.469
_cell_length_b 4.678
_cell_length_c 11.874
_cell_angle_alpha 90.00
_cell_angle_beta 90.00
_cell_angle_gamma 90.00
loop_
_atom_site_label
_atom_site_fract_x
_atom_site_fract_y
_atom_site_fract_z
Pm1 0.000 0.000 0.000
Pm2 0.000 0.500 0.496
Pm3 0.500 0.000 0.729
Pm4 0.500 0.500 0.230
In1 0.000 0.000 0.274
Pb1 0.000 0.500 0.766
Pb2 0.500 0.000 0.452
Pb3 0.500 0.500 0.959
# E_form: -0.54 eV per atom
# energy relative to the lowest polymorph listed for this composition: 0 meV/atom
# final energy: -0.3418 Ry per atom
# volume: 31.03 Å³/atom

Entry 6:
# Pm3InPb3 | Alexandria via LeMat-Bulk | PBE | relaxed
data_Pm3InPb3
_space_group_name_H-M_alt 'P 63/m'
_space_group_IT_number 176
_space_group_name_Hall '-P 6c'
_cell_length_a 9.0836
_cell_length_b 9.0836
_cell_length_c 5.9092
_cell_angle_alpha 90.00
_cell_angle_beta 90.00
_cell_angle_gamma 120.00
loop_
_atom_site_label
_atom_site_fract_x
_atom_site_fract_y
_atom_site_fract_z
Pm1 0.0913 0.6428 0.2500
In1 0.3333 0.6667 0.7500
Pb1 0.0592 0.7982 0.7500
# E_form: -0.34 eV per atom
# final energy: -0.3202 Ry per atom
# volume: 30.16 Å³/atom

Entry 7:
# Pm12In3Pb | Alexandria via LeMat-Bulk | PBE | relaxed
data_Pm12In3Pb
_space_group_name_H-M_alt 'P 4/m m m'
_space_group_IT_number 123
_space_group_name_Hall '-P 4 2'
_cell_length_a 4.957
_cell_length_b 4.957
_cell_length_c 19.851
_cell_angle_alpha 90.00
_cell_angle_beta 90.00
_cell_angle_gamma 90.00
loop_
_atom_site_label
_atom_site_fract_x
_atom_site_fract_y
_atom_site_fract_z
Pm1 0.000 0.000 0.000
Pm2 0.000 0.000 0.250
Pm3 0.000 0.000 0.500
Pm4 0.000 0.500 0.125
Pm5 0.000 0.500 0.375
In1 0.500 0.500 0.000
In2 0.500 0.500 0.249
Pb1 0.500 0.500 0.500
# E_form: -0.29 eV per atom
# final energy: -0.3382 Ry per atom
# volume: 30.48 Å³/atom

Entry 8:
# Pm2In3Pb | Alexandria via LeMat-Bulk | PBE | relaxed
data_Pm2In3Pb
_space_group_name_H-M_alt 'I m m m'
_space_group_IT_number 71
_space_group_name_Hall '-I 2 2'
_cell_length_a 3.316
_cell_length_b 5.889
_cell_length_c 18.686
_cell_angle_alpha 90.00
_cell_angle_beta 90.00
_cell_angle_gamma 90.00
loop_
_atom_site_label
_atom_site_fract_x
_atom_site_fract_y
_atom_site_fract_z
Pm1 0.000 0.000 0.155
In1 0.000 0.000 0.326
In2 0.000 0.500 0.500
Pb1 0.000 0.000 0.500
# E_form: -0.13 eV per atom
# final energy: -0.2717 Ry per atom
# volume: 30.41 Å³/atom

Entry 9:
# PmInPb4 | Alexandria via LeMat-Bulk | PBE | relaxed
data_PmInPb4
_space_group_name_H-M_alt 'F -4 3 m'
_space_group_IT_number 216
_space_group_name_Hall 'F -4 2 3'
_cell_length_a 9.135
_cell_length_b 9.135
_cell_length_c 9.135
_cell_angle_alpha 90.00
_cell_angle_beta 90.00
_cell_angle_gamma 90.00
loop_
_atom_site_label
_atom_site_fract_x
_atom_site_fract_y
_atom_site_fract_z
Pm1 0.000 0.000 0.000
In1 0.250 0.250 0.250
Pb1 0.126 0.126 0.626
# E_form: -0.06 eV per atom
# final energy: -0.2776 Ry per atom
# volume: 31.77 Å³/atom

Entry 10:
# Pm6InPb5 | Alexandria via LeMat-Bulk | PBE | relaxed
data_Pm6InPb5
_space_group_name_H-M_alt 'C 1 2/m 1'
_space_group_IT_number 12
_space_group_name_Hall '-C 2y'
_cell_length_a 10.427
_cell_length_b 15.318
_cell_length_c 5.058
_cell_angle_alpha 90.00
_cell_angle_beta 118.96
_cell_angle_gamma 90.00
loop_
_atom_site_label
_atom_site_fract_x
_atom_site_fract_y
_atom_site_fract_z
Pm1 0.248 0.000 0.248
Pm2 0.249 0.166 0.749
In1 0.000 0.000 0.500
Pb1 0.000 0.164 0.000
Pb2 0.000 0.333 0.500
Pb3 0.000 0.500 0.000
# E_form: -0.50 eV per atom
# final energy: -0.3419 Ry per atom
# volume: 29.45 Å³/atom

Entry 11:
# PmInPtPb | Alexandria via LeMat-Bulk | PBE | relaxed
data_PmInPtPb
_space_group_name_H-M_alt 'F -4 3 m'
_space_group_IT_number 216
_space_group_name_Hall 'F -4 2 3'
_cell_length_a 7.276
_cell_length_b 7.276
_cell_length_c 7.276
_cell_angle_alpha 90.00
_cell_angle_beta 90.00
_cell_angle_gamma 90.00
loop_
_atom_site_label
_atom_site_fract_x
_atom_site_fract_y
_atom_site_fract_z
Pm1 0.000 0.000 0.000
In1 0.000 0.000 0.500
Pt1 0.250 0.250 0.250
Pb1 0.250 0.250 0.750
# E_form: -0.47 eV per atom
# final energy: -0.3514 Ry per atom
# volume: 24.07 Å³/atom

Entry 12:
# PmPuInPb | Alexandria via LeMat-Bulk | PBE | relaxed
data_PmPuInPb
_space_group_name_H-M_alt 'F -4 3 m'
_space_group_IT_number 216
_space_group_name_Hall 'F -4 2 3'
_cell_length_a 7.725
_cell_length_b 7.725
_cell_length_c 7.725
_cell_angle_alpha 90.00
_cell_angle_beta 90.00
_cell_angle_gamma 90.00
loop_
_atom_site_label
_atom_site_fract_x
_atom_site_fract_y
_atom_site_fract_z
Pm1 0.000 0.000 0.000
Pu1 0.000 0.000 0.500
In1 0.250 0.250 0.750
Pb1 0.250 0.250 0.250
# E_form: -0.26 eV per atom
# final energy: -0.4881 Ry per atom
# volume: 28.82 Å³/atom

Number 1: theoretical density 7.81 g/cm3. Number 2: theoretical density 6.80 g/cm3. Number 3: theoretical density 7.69 g/cm3. Number 4: theoretical density 10.30 g/cm3. Number 5: theoretical density 8.81 g/cm3. Number 6: theoretical density 9.21 g/cm3. Number 7: theoretical density 7.80 g/cm3. Number 8: theoretical density 7.66 g/cm3. Number 9: theoretical density 9.48 g/cm3. Number 10: theoretical density 9.49 g/cm3. Number 11: theoretical density 11.42 g/cm3. Number 12: theoretical density 10.24 g/cm3.